Record 1
This record from the Alexandria database describes a relaxed Hg2IrCl crystal. The functional is PBE.

The structure belongs to space group F-43m (No. 216); the cell edges are 6.8085, 6.8085 and 6.8085 Å and the angles 90.00°, 90.00° and 90.00°. Symmetry generates all atoms from Hg at (0.0000, 0.0000, 0.0000), Hg at (0.2500, 0.2500, 0.2500), Ir at (0.2500, 0.2500, 0.7500) and Cl at (0.0000, 0.0000, 0.5000).

The calculation puts the formation energy without anion corrections at 743 meV/atom. The calculation puts the excess energy over the best structure of this formula in the dataset at 602 meV/atom.

---

Record 2
This record from the Alexandria database describes a relaxed TaSb2W crystal. The functional is PBE.

The structure belongs to space group C2/m (No. 12); the cell edges are 9.0238, 3.2008 and 5.5715 Å and the angles 90.00°, 102.09° and 90.00°. Symmetry generates all atoms from Ta at (0.0000, 0.0000, 0.0000), Sb at (0.2459, 0.0000, 0.7430) and W at (0.0000, 0.5000, 0.5000).

The calculation puts the formation energy without anion corrections at 536 meV/atom. The calculation puts the excess energy over the best structure of this formula in the dataset at 418 meV/atom.

---

Record 3
This record from the Alexandria database describes a relaxed TcBMo2Ru crystal. The functional is PBE.

The structure belongs to space group P4/mmm (No. 123); the cell edges are 4.1776, 4.1776 and 4.0098 Å and the angles 90.00°, 90.00° and 90.00°. Symmetry generates all atoms from Tc at (0.0000, 0.0000, 0.0000), B at (0.5000, 0.5000, 0.5000), Mo at (0.0000, 0.5000, 0.5000) and Ru at (0.5000, 0.5000, 0.0000).

For the energy relative to the elements, the calculation gives 0.173 eV per atom.

---

Record 4
This record from the Alexandria database describes a relaxed Cs2BaNpI8 crystal. The functional is PBE.

The structure belongs to space group P-1 (No. 2); the cell edges are 8.3552, 8.4160 and 10.2909 Å and the angles 89.92°, 89.90° and 87.50°. Symmetry generates all atoms from Cs at (0.0008, 0.9998, 0.2424), Ba at (0.5000, 0.5000, 0.5000), Np at (0.5000, 0.5000, 0.0000), I at (0.2612, 0.8286, 0.5005), I at (0.2810, 0.3852, 0.2129), I at (0.2819, 0.3836, 0.7880) and I at (0.3246, 0.8150, 0.9989).

The calculation puts the formation energy without anion corrections at -1255 meV/atom.

---

Record 5
This record from the Alexandria database describes a relaxed DyEr3Ir crystal. The functional is PBE.

The structure belongs to space group C2/m (No. 12); the cell edges are 17.1813, 3.7801 and 9.2388 Å and the angles 90.00°, 104.87° and 90.00°. Symmetry generates all atoms from Dy at (0.1906, 0.0000, 0.2984), Er at (0.0017, 0.5000, 0.1813), Er at (0.1007, 0.5000, 0.5446), Er at (0.1805, 0.0000, 0.8776) and Ir at (0.1396, 0.5000, 0.0664).

The calculation puts the excess energy over the best structure of this formula in the dataset at 75 meV/atom. For the energy relative to the elements, the calculation gives -0.280 eV per atom.

---

Record 6
This record from the Alexandria database describes a relaxed YNiHg2 crystal. The functional is PBE.

The structure belongs to space group P4mm (No. 99); the cell edges are 3.4219, 3.4219 and 7.2917 Å and the angles 90.00°, 90.00° and 90.00°. Symmetry generates all atoms from Y at (0.0000, 0.0000, 0.0000), Ni at (0.5000, 0.5000, 0.7891), Hg at (0.0000, 0.0000, 0.5822) and Hg at (0.5000, 0.5000, 0.2995).

For the energy relative to the elements, the calculation gives -0.174 eV per atom.

---

Record 7
This record from the Alexandria database describes a relaxed Al2SbRh2 crystal. The functional is PBE.

The structure belongs to space group P4/mbm (No. 127); the cell edges are 7.4923, 7.4923 and 2.9221 Å and the angles 90.00°, 90.00° and 90.00°. Symmetry generates all atoms from Al at (0.1314, 0.3686, 0.0000), Sb at (0.0000, 0.0000, 0.0000) and Rh at (0.1568, 0.6568, 0.5000).

The calculation puts the formation energy without anion corrections at -503 meV/atom. The calculation puts the excess energy over the best structure of this formula in the dataset at 117 meV/atom.

---

Record 8
This record from the Alexandria database describes a relaxed EuCdInBi crystal. The functional is PBE.

The structure belongs to space group F-43m (No. 216); the cell edges are 7.8561, 7.8561 and 7.8561 Å and the angles 90.00°, 90.00° and 90.00°. Symmetry generates all atoms from Eu at (0.0000, 0.0000, 0.0000), Cd at (0.2500, 0.2500, 0.7500), In at (0.0000, 0.0000, 0.5000) and Bi at (0.2500, 0.2500, 0.2500).

For the energy relative to the elements, the calculation gives -0.304 eV per atom.

---

Copy entry 6 word for word.
This record from the Alexandria database describes a relaxed YNiHg2 crystal. The functional is PBE.

The structure belongs to space group P4mm (No. 99); the cell edges are 3.4219, 3.4219 and 7.2917 Å and the angles 90.00°, 90.00° and 90.00°. Symmetry generates all atoms from Y at (0.0000, 0.0000, 0.0000), Ni at (0.5000, 0.5000, 0.7891), Hg at (0.0000, 0.0000, 0.5822) and Hg at (0.5000, 0.5000, 0.2995).

For the energy relative to the elements, the calculation gives -0.174 eV per atom.

---

Repeat the second record exactly.
This record from the Alexandria database describes a relaxed TaSb2W crystal. The functional is PBE.

The structure belongs to space group C2/m (No. 12); the cell edges are 9.0238, 3.2008 and 5.5715 Å and the angles 90.00°, 102.09° and 90.00°. Symmetry generates all atoms from Ta at (0.0000, 0.0000, 0.0000), Sb at (0.2459, 0.0000, 0.7430) and W at (0.0000, 0.5000, 0.5000).

The calculation puts the formation energy without anion corrections at 536 meV/atom. The calculation puts the excess energy over the best structure of this formula in the dataset at 418 meV/atom.